5
Lattice="3.811 0.000 0.000 0.000 3.811 0.000 0.000 0.000 3.983" Properties=species:S:1:pos:R:3 comment="Fe2TcPdN (PBE, relaxed)" m_tot_mub_per_fu=0.00 dos_ef_per_ev_atom=1.524 e_form_raw_kj_per_mol_fu=51 pbc="T T T"
Fe 0.000 1.905 0.000
Fe 1.905 0.000 0.000
Tc 0.000 0.000 1.991
Pd 1.905 1.905 1.991
N 0.000 0.000 0.000